No. 1
Compound: CrSe2O6F2
Source: Alexandria via LeMat-Bulk
Functional: PBE+U
Structure: relaxed

The structure in POSCAR format:
```
CrSe2O6F2
1.0
5.3480 0.0000 0.0000
-2.6740 4.6315 0.0000
0.0000 0.0000 7.1883
Cr Se O F
1 2 6 2
Direct
0.0000 0.0000 0.0000 Cr
0.3333 0.6667 0.7747 Se
0.6667 0.3333 0.2253 Se
0.2762 0.3391 0.8315 O
0.0629 0.7238 0.8315 O
0.6609 0.9371 0.8315 O
0.7238 0.6609 0.1685 O
0.9371 0.2762 0.1685 O
0.3391 0.0629 0.1685 O
0.3333 0.6667 0.5250 F
0.6667 0.3333 0.4750 F
```

V: 178.0 Å³ per cell
DFT total energy: -5.361 eV per atom

---

No. 2
Compound: CrSiO2F
Source: Alexandria via LeMat-Bulk
Functional: PBE+U
Structure: relaxed

The structure in POSCAR format:
```
CrSiO2F
1.0
-2.8651 1.9698 -0.3661
-1.6838 -2.0212 2.3028
1.2529 2.3810 3.0060
Cr Si O F
1 1 2 1
Direct
0.5000 0.5000 0.5000 Cr
0.0000 0.0000 0.0000 Si
0.0000 0.5000 0.0000 O
0.5000 0.0000 0.0000 O
0.0000 0.0000 0.5000 F
```

V: 49.3 Å³ per cell
DFT total energy: -6.626 eV per atom

---

No. 3
Compound: CrSiOF2
Source: Alexandria via LeMat-Bulk
Functional: PBE+U
Structure: relaxed

The structure in POSCAR format:
```
CrSiOF2
1.0
4.2305 0.0000 0.0000
0.0000 4.2305 0.0000
0.0000 0.0000 3.4919
Cr Si O F
1 1 1 2
Direct
0.5000 0.5000 0.5000 Cr
0.0000 0.0000 0.0000 Si
0.0000 0.0000 0.5000 O
0.0000 0.5000 0.0000 F
0.5000 0.0000 0.0000 F
```

V: 62.5 Å³ per cell
DFT total energy: -5.806 eV per atom
Energy above the most stable polymorph in this dataset: 0.000 eV/atom